This record from the Open Quantum Materials Database describes an optimized crystal structure of BaTbGdS3. The functional is PBE-GGA.

Cell lengths 4.3157, 14.2622, 10.5935 Å; angles 90.00, 90.00, 90.00 degrees
With the nearest neighbours (Å) after each atom.
Space group Cmcm (No. 63)
Asymmetric unit:
Ba1 0.0000 0.2409 0.2500  4 S 3.13-3.49
Tb1 0.0000 0.0312 0.7500  4 S 2.61-2.70
Gd1 0.0000 0.5000 0.0000  6 S 2.90
S1 0.0000 0.1313 0.5443  1 Tb 2.61, 2 Gd 2.90
S2 0.0000 0.4179 0.7500  2 Tb 2.70, 2 Gd 2.90

Summary:
Raw total energy in eV/atom: -5.650
Magnetic moment in μB per atom: 0.118


This record from the Open Quantum Materials Database describes an optimized crystal structure of BaGd2Se3. The functional is PBE-GGA.

Cell lengths 4.2485, 4.2485, 10.6964 Å; angles 90.00, 90.00, 120.00 degrees
With the nearest neighbours (Å) after each atom.
Space group P-3m1 (No. 164)
Asymmetric unit:
Ba1 0.0000 0.0000 0.0000  6 Se 3.24
Gd1 0.3333 0.6667 0.6488  6 Se 2.92-2.95
Se1 0.0000 0.0000 0.5000  6 Gd 2.92
Se2 0.3333 0.6667 0.1982  3 Gd 2.95, 3 Ba 3.24

Summary:
Raw total energy in eV/atom: -5.474
Magnetic moment in μB per atom: 0.001


This record from the Open Quantum Materials Database describes an optimized crystal structure of BaGdTlSe3. The functional is PBE-GGA.

Cell lengths 4.3042, 15.4133, 12.2147 Å; angles 90.00, 90.00, 90.00 degrees
With the nearest neighbours (Å) after each atom.
Space group Cmcm (No. 63)
Asymmetric unit:
Ba1 0.0000 0.1677 0.2500  4 Se 3.11-3.26
Gd1 0.0000 0.5000 0.0000  6 Se 2.89-3.06
Tl1 0.0000 0.1273 0.7500  4 Se 3.01-3.07
Se1 0.0000 0.1250 0.0011  2 Gd 2.89, 1 Tl 3.07, 1 Ba 3.11
Se2 0.0000 0.4913 0.7500  2 Tl 3.01, 2 Gd 3.06, 2 Ba 3.26

Summary:
Raw total energy in eV/atom: -4.619
Magnetic moment in μB per atom: 0.000


This record from the Open Quantum Materials Database describes an optimized crystal structure of BaGdZnSe3. The functional is PBE-GGA.

Cell lengths 4.4075, 14.0336, 10.8137 Å; angles 90.00, 90.00, 90.00 degrees
With the nearest neighbours (Å) after each atom.
Space group Cmcm (No. 63)
Asymmetric unit:
Ba1 0.0000 0.2481 0.2500  6 Se 3.35-3.37
Gd1 0.0000 0.0000 0.0000  6 Se 2.89-2.98
Zn1 0.0000 0.4806 0.7500  4 Se 2.54-2.55
Se1 0.0000 0.0723 0.7500  2 Zn 2.55
Se2 0.0000 0.3671 0.5674  1 Zn 2.54

Summary:
Raw total energy in eV/atom: -4.493
Magnetic moment in μB per atom: 0.004


This record from the Open Quantum Materials Database describes an optimized crystal structure of BaGdSi. The functional is PBE-GGA.

Cell lengths 7.4420, 7.4420, 7.4420 Å; angles 90.00, 90.00, 90.00 degrees
With the nearest neighbours (Å) after each atom.
Space group F-43m (No. 216)
Asymmetric unit:
Ba1 0.0000 0.0000 0.0000  4 Si 3.22
Gd1 0.0000 0.0000 0.5000  4 Si 3.22
Si1 0.2500 0.2500 0.2500  4 Gd 3.22, 4 Ba 3.22

Summary:
Offset from the most stable computed form in meV per atom: 0
Raw total energy in eV/atom: -4.138
Magnetic moment in μB per atom: 0.202


This record from the Open Quantum Materials Database describes an optimized crystal structure of BaGdSi. The functional is PBE-GGA.

Cell lengths 7.3572, 7.3572, 7.3572 Å; angles 90.00, 90.00, 90.00 degrees
With the nearest neighbours (Å) after each atom.
Space group F-43m (No. 216)
Asymmetric unit:
Ba1 0.0000 0.0000 0.0000  4 Gd 3.19, 4 Si 3.19
Gd1 0.2500 0.2500 0.7500  4 Ba 3.19
Si1 0.2500 0.2500 0.2500  4 Ba 3.19

Summary:
Offset from the most stable computed form in meV per atom: 811
Raw total energy in eV/atom: -3.327
Magnetic moment in μB per atom: 0.053